{
  "formula": "Tm4PdRu",
  "functional": "PBE",
  "state": "relaxed",
  "lattice": [[4.756, 0.000, -0.001], [0.000, 4.757, -0.001], [0.004, 0.006, 6.777]],
  "species": ["Tm", "Tm", "Tm", "Tm", "Pd", "Ru"],
  "fractional_positions": [[0.501, 0.997, 0.255], [0.501, 0.998, 0.741], [0.001, 0.498, 0.741], [0.001, 0.497, 0.256], [0.501, 0.497, 0.998], [0.001, 0.997, 0.498]],
  "magnetic_moment_mub_per_fu": 0.00,
  "sg": "P4/mmm, No. 123",
  "de_polymorph_ev_per_fu": 0.50,
  "dos_ef_per_ev_cell": 3.91,
  "delta_e_f_ev_per_atom": -0.460,
  "energy_ev_per_atom": -5.852
}